4
Lattice="4.526 0.000 0.000 2.238 4.710 0.000 2.125 -0.973 5.513" Properties=species:S:1:pos:R:3 comment="CsTeHO PBE relaxed" mass_density_kg_m3=3921 sg="P1, No. 1" energy_ev_per_cell=-15.852 pbc="T T T"
Cs 0.000 0.000 0.000
Te 6.556 1.862 2.841
H 4.381 0.602 3.091
O 5.292 0.205 3.037

---

4
Lattice="4.542 0.000 0.000 0.000 5.432 0.000 -2.215 0.000 4.593" Properties=species:S:1:pos:R:3 comment="CsTeHO PBE relaxed" mass_density_kg_m3=4067 sg="Pm, No. 6" energy_ev_per_cell=-15.900 pbc="T T T"
Cs 0.000 0.000 0.000
Te 2.231 2.716 1.837
H -0.151 2.716 3.152
O -1.069 2.716 3.532

---

16
Lattice="4.631 0.000 0.000 0.000 7.481 0.000 0.000 0.000 8.186" Properties=species:S:1:pos:R:3 comment="CsTeH2O4 PBE relaxed" mass_density_kg_m3=3824 sg="I222, No. 23" energy_ev_per_cell=-76.020 pbc="T T T"
Cs 0.000 0.000 0.000
Cs 2.315 3.740 4.093
Te 0.000 0.000 4.093
Te 2.315 3.740 0.000
H 0.000 3.740 1.196
H 0.000 3.740 6.991
H 2.315 0.000 2.897
H 2.315 0.000 5.289
O 1.000 3.022 6.927
O 1.000 4.459 1.260
O 1.315 0.719 2.834
O 1.315 6.762 5.353
O 3.315 0.719 5.353
O 3.315 6.762 2.834
O 3.631 3.022 1.260
O 3.631 4.459 6.927

---

8
Lattice="17.173 0.000 0.000 0.000 3.574 0.000 -0.037 0.000 3.489" Properties=species:S:1:pos:R:3 comment="CsTeHO PBE relaxed" mass_density_kg_m3=4304 sg="Cm, No. 8" energy_ev_per_cell=-29.910 pbc="T T T"
Cs 0.000 0.000 0.000
Cs 8.586 1.787 0.000
Te 4.982 0.000 1.694
Te 13.568 1.787 1.694
H 2.313 1.787 1.762
H 10.899 0.000 1.762
O 1.338 1.787 1.760
O 9.925 0.000 1.760

---

4
Lattice="4.384 0.000 0.000 0.345 4.755 0.000 0.280 0.173 4.969" Properties=species:S:1:pos:R:3 comment="CsTeHO PBE relaxed" mass_density_kg_m3=4449 sg="P1, No. 1" energy_ev_per_cell=-14.914 pbc="T T T"
Cs 0.000 0.000 0.000
Te 2.522 2.477 2.622
H 0.919 1.890 2.372
O 2.538 2.421 4.570

---

11
Lattice="5.629 0.000 0.000 -2.764 5.016 0.000 -0.237 -1.756 6.614" Properties=species:S:1:pos:R:3 comment="CsTi2H2O6 PBE relaxed" mass_density_kg_m3=2904 sg="P-1, No. 2" energy_ev_per_cell=-75.934 pbc="T T T"
Cs 0.000 0.000 0.000
Ti -0.171 1.573 3.896
Ti 2.799 1.688 2.718
H 1.326 -0.588 3.260
H 1.302 3.849 3.354
O -1.502 2.886 3.471
O -0.260 1.338 5.602
O 1.289 0.416 3.102
O 1.339 2.845 3.513
O 2.889 1.922 1.012
O 4.130 0.375 3.144